1.
The following is a SCAN calculation of a crystal of Tl4SnTe3 relaxed with PBEsol, from Alexandria via LeMat-Bulk.

Lattice parameters (Å, degrees): 8.895 8.895 8.895 121.53 121.53 87.38
Fractional coordinates of all 16 atoms:
Tl 0.015 0.515 0.209
Tl 0.193 0.985 0.500
Tl 0.307 0.807 0.791
Tl 0.485 0.693 0.500
Tl 0.515 0.307 0.500
Tl 0.693 0.193 0.209
Tl 0.807 0.015 0.500
Tl 0.985 0.485 0.791
Sn 0.000 0.000 0.000
Sn 0.500 0.500 0.000
Te 0.163 0.337 0.500
Te 0.250 0.250 0.000
Te 0.337 0.837 0.174
Te 0.663 0.163 0.826
Te 0.750 0.750 0.000
Te 0.837 0.663 0.500

**Formation energy (no corrections)**: -0.27 eV/atom
**Calculated density**: 9.02 g/cm³

2.
The following is a SCAN calculation of a crystal of TlSn2TeW relaxed with PBEsol, from Alexandria via LeMat-Bulk.

Lattice parameters (Å, degrees): 5.285 5.285 5.245 90.00 90.00 90.00
Fractional coordinates of all 5 atoms:
Tl 0.000 0.000 0.000
Sn 0.000 0.500 0.500
Sn 0.500 0.000 0.500
Te 0.500 0.500 0.000
W 0.500 0.500 0.500

**Formation energy (no corrections)**: 0.50 eV/atom
**Calculated density**: 8.54 g/cm³